Entry 1:
Ac3AgHg2 | PBE-GGA | relaxed

Values from the calculation:
DFT formation energy   -0.404 eV/atom
Density of states at the Fermi level   13.1 states/eV per cell
E_tot   -3.034 eV per atom
Total magnetic moment   0.5 μB/cell
ρ   10146 kg/m³

a = 5.6879 Å, b = 17.0002 Å, c = 4.0286 Å
α = 90.00°, β = 90.00°, γ = 90.00°
Space group Cmmm (No. 65)
Asymmetric unit:
Ac  0.0000  0.0000  0.0000 (multiplicity 2)
Ac  0.0000  0.3369  0.0000 (multiplicity 4)
Ag  0.0000  0.5000  0.5000 (multiplicity 2)
Hg  0.0000  0.1688  0.5000 (multiplicity 4)

Entry 2:
LiPmAlTc | PBE-GGA | relaxed

Values from the calculation:
DFT formation energy   0.009 eV/atom
Density of states at the Fermi level   8.4 states/eV per cell
E_tot   -5.184 eV per atom
Total magnetic moment   0.0 μB/cell
ρ   6274 kg/m³

a = 6.6433 Å, b = 6.6433 Å, c = 6.6433 Å
α = 90.00°, β = 90.00°, γ = 90.00°
Space group F-43m (No. 216)
Asymmetric unit:
Li  0.0000  0.0000  0.0000 (multiplicity 4)
Pm  0.2500  0.2500  0.7500 (multiplicity 4)
Al  0.2500  0.2500  0.2500 (multiplicity 4)
Tc  0.0000  0.0000  0.5000 (multiplicity 4)

Entry 3:
Cs2TePbF6 | PBE-GGA | relaxed

Values from the calculation:
Density of states at the Fermi level   0.0 states/eV per cell
Formation energy from raw total energies   -2.258 eV per atom
E_tot   -4.237 eV per atom
Total magnetic moment   0.0 μB/cell
ρ   4599 kg/m³

a = 6.5059 Å, b = 6.5059 Å, c = 12.1914 Å
α = 90.00°, β = 90.00°, γ = 90.00°
Space group I4/mmm (No. 139)
Asymmetric unit:
Cs  0.0000  0.5000  0.2500 (multiplicity 4)
Te  0.0000  0.0000  0.0000 (multiplicity 2)
Pb  0.0000  0.0000  0.5000 (multiplicity 2)
F  0.0000  0.0000  0.3046 (multiplicity 4)
F  0.2338  0.2338  0.0000 (multiplicity 8)

Entry 4:
BeCu2AgI | PBE-GGA | relaxed

Values from the calculation:
Density of states at the Fermi level   3.3 states/eV per cell
Formation energy from raw total energies   1.285 eV per atom
E_tot   -1.979 eV per atom
Total magnetic moment   0.0 μB/cell
ρ   4745 kg/m³

a = 4.8443 Å, b = 4.8443 Å, c = 5.5312 Å
α = 90.00°, β = 90.00°, γ = 90.00°
Space group P4/mmm (No. 123)
Asymmetric unit:
Be  0.0000  0.0000  0.0000 (multiplicity 1)
Cu  0.0000  0.5000  0.5000 (multiplicity 2)
Ag  0.5000  0.5000  0.5000 (multiplicity 1)
I  0.5000  0.5000  0.0000 (multiplicity 1)